Below is a relaxed structure of Ba6PI3Br2, with properties calculated at the GGA-PBE level.

Cell and atoms, written as extended XYZ:
```
12
Lattice="-1.639 2.247 -7.755 -4.716 -5.627 3.736 -2.871 7.143 4.126" Properties=species:S:1:pos:R:3 pbc="T T T"
Ba -7.647 1.771 1.951
Ba -2.548 -0.485 1.771
Ba -5.453 -1.007 -2.150
I -4.613 1.881 0.054
I -5.624 -0.705 3.828
Ba -1.580 1.992 -1.844
Ba -3.773 4.770 2.258
Ba -6.678 4.248 -1.663
P 0.000 0.000 0.000
I -3.602 4.468 -3.720
Br -2.667 -0.384 -3.916
Br -3.688 -2.997 -0.103
```

Output
Formation energy from raw total energies ... -1.446 eV/atom
Space group ... C2/m, No. 12
V ... 40.7 A^3/atom
Magnetization ... 0.00 μB per atom
ρ ... 4.749 Mg/m³
Density of states at the Fermi level ... 0.623 states/eV per atom

=====

Below is a relaxed structure of Ba4PIBr2, with properties calculated at the GGA-PBE level.

Cell and atoms, written as extended XYZ:
```
8
Lattice="-0.144 -0.280 -4.726 -5.958 -6.081 0.541 -3.693 7.325 -0.322" Properties=species:S:1:pos:R:3 pbc="T T T"
Ba -2.623 -0.062 -2.290
Br -1.919 3.522 -2.524
Br -4.826 0.622 0.110
P -3.051 -3.180 -2.092
I 0.000 0.000 0.000
Ba -7.172 1.026 -2.216
Ba -5.091 -2.700 0.315
Ba -4.560 3.943 -0.095
```

Output
Formation energy from raw total energies ... -1.503 eV/atom
Space group ... P2/m, No. 10
V ... 39.2 A^3/atom
Magnetization ... 0.00 μB per atom
ρ ... 4.588 Mg/m³
Density of states at the Fermi level ... 0.419 states/eV per atom

=====

Below is a relaxed structure of Ba6P2I3Br, with properties calculated at the GGA-PBE level.

Cell and atoms, written as extended XYZ:
```
12
Lattice="8.256 0.006 0.004 -4.121 7.153 0.004 -1.375 -2.381 8.246" Properties=species:S:1:pos:R:3 pbc="T T T"
Ba -1.457 2.536 1.746
Ba 0.087 0.151 6.534
Ba 2.925 0.005 1.746
I 1.380 2.389 4.127
P -0.005 4.777 0.004
I 5.577 -0.035 4.127
Ba 2.672 4.627 1.719
I -2.818 4.813 4.127
Ba -0.165 4.773 6.507
Br 0.000 0.000 0.000
Ba 4.217 2.242 6.507
P 4.140 2.382 0.004
```

Output
Formation energy from raw total energies ... -1.460 eV/atom
Space group ... C2/m, No. 12
V ... 40.6 A^3/atom
Magnetization ... 0.00 μB per atom
ρ ... 4.588 Mg/m³
Density of states at the Fermi level ... 0.384 states/eV per atom

=====

Below is a relaxed structure of Ba6P2IBr3, with properties calculated at the GGA-PBE level.

Cell and atoms, written as extended XYZ:
```
12
Lattice="-2.943 2.114 3.033 -7.480 -2.030 -5.843 1.878 -9.387 4.684" Properties=species:S:1:pos:R:3 pbc="T T T"
Ba -6.547 -8.526 3.271
Ba -1.997 -0.777 -1.396
Ba -3.008 -6.323 1.488
Ba -5.536 -2.980 0.386
Ba -6.318 -7.233 -1.089
P -2.351 -3.464 0.133
I -1.472 1.057 1.517
Ba -2.226 -2.070 2.964
Br -6.117 -4.386 -2.879
Br -2.427 -4.917 4.753
Br -5.211 0.042 -1.405
P -6.193 -5.839 1.742
```

Output
Formation energy from raw total energies ... -1.527 eV/atom
Space group ... C2/m, No. 12
V ... 38.7 A^3/atom
Magnetization ... 0.00 μB per atom
ρ ... 4.475 Mg/m³
Density of states at the Fermi level ... 0.338 states/eV per atom

=====

Below is a relaxed structure of Ba8Pb3I4Br, with properties calculated at the GGA-PBE level.

Cell and atoms, written as extended XYZ:
```
16
Lattice="10.102 0.000 0.000 0.000 10.360 0.170 -5.051 -5.048 7.150" Properties=species:S:1:pos:R:3 pbc="T T T"
Ba 0.000 5.007 3.630
Ba 7.508 2.762 0.212
I -2.525 -2.524 3.575
Ba 5.051 0.305 3.690
Pb 5.051 5.180 0.085
I 0.000 0.000 0.000
Pb 2.525 2.656 3.660
I 5.051 0.000 0.000
I 2.525 -2.524 3.575
Ba -2.457 2.550 7.108
Ba 2.593 2.762 0.212
Br 0.000 5.180 0.085
Ba 2.457 2.550 7.108
Pb -2.525 2.656 3.660
Ba 5.051 5.096 3.596
Ba 0.000 0.216 3.724
```

Output
Formation energy from raw total energies ... -1.144 eV/atom
Space group ... R-3m, No. 166
V ... 47.3 A^3/atom
Magnetization ... 0.00 μB per atom
ρ ... 5.062 Mg/m³
Density of states at the Fermi level ... 0.490 states/eV per atom

=====

Below is a relaxed structure of Ba4PbIBr2, with properties calculated at the GGA-PBE level.

Cell and atoms, written as extended XYZ:
```
8
Lattice="5.075 0.000 0.000 0.000 8.361 -0.043 0.000 3.061 8.104" Properties=species:S:1:pos:R:3 pbc="T T T"
Pb 2.537 4.180 -0.022
Ba 2.537 4.415 6.203
Ba 0.000 8.568 6.180
Br 2.537 1.531 4.052
I 0.000 5.711 4.030
Ba 5.075 2.854 1.881
Br 0.000 3.061 8.104
Ba 2.537 7.008 1.857
```

Output
Formation energy from raw total energies ... -1.326 eV/atom
Space group ... P2/m, No. 10
V ... 43.1 A^3/atom
Magnetization ... 0.00 μB per atom
ρ ... 5.028 Mg/m³
Density of states at the Fermi level ... 0.427 states/eV per atom

=====

Below is a relaxed structure of Ba6Pd2I3Br, with properties calculated at the GGA-PBE level.

Cell and atoms, written as extended XYZ:
```
12
Lattice="-7.226 3.486 1.939 0.322 -5.857 -5.807 0.994 -5.290 7.349" Properties=species:S:1:pos:R:3 pbc="T T T"
I -5.529 -0.645 4.382
Pd -4.715 0.378 -0.638
Br 0.000 0.000 0.000
Pd -2.189 -2.749 -3.230
Ba -3.060 -7.641 1.518
Ba -0.150 -3.363 -0.807
Ba -1.200 -4.880 4.716
Ba -2.850 -0.020 1.964
I -0.381 -7.016 -0.901
I -2.955 -3.830 1.741
Ba -5.760 -4.298 4.289
Ba -4.710 -2.781 -1.235
```

Output
Formation energy from raw total energies ... -1.150 eV/atom
Space group ... C2/m, No. 12
V ... 42.7 A^3/atom
Magnetization ... 0.08 μB per atom
ρ ... 4.851 Mg/m³
Density of states at the Fermi level ... 0.872 states/eV per atom

=====

Below is a relaxed structure of Ba8Pd3I4Br, with properties calculated at the GGA-PBE level.

Cell and atoms, written as extended XYZ:
```
16
Lattice="9.469 0.000 0.000 0.000 10.282 0.562 -4.735 -4.733 6.701" Properties=species:S:1:pos:R:3 pbc="T T T"
Ba 0.000 0.539 3.725
Ba -2.238 2.710 6.846
Pd 2.367 2.775 3.631
I 2.367 -2.366 3.350
Ba 6.973 2.839 0.417
Ba 2.238 2.710 6.846
Br 0.000 5.141 0.281
Ba 2.497 2.839 0.417
I 4.735 0.000 0.000
Ba 4.735 0.605 3.586
I 0.000 0.000 0.000
Ba 4.735 5.010 3.538
I -2.367 -2.366 3.350
Pd 4.735 5.141 0.281
Ba 0.000 4.944 3.677
Pd -2.367 2.775 3.631
```

Output
Formation energy from raw total energies ... -1.107 eV/atom
Space group ... R-3m, No. 166
V ... 42.3 A^3/atom
Magnetization ... 0.00 μB per atom
ρ ... 4.915 Mg/m³
Density of states at the Fermi level ... 0.799 states/eV per atom

=====

Below is a relaxed structure of Ba4PdI2Br, with properties calculated at the GGA-PBE level.

Cell and atoms, written as extended XYZ:
```
8
Lattice="-0.583 -4.265 1.691 6.444 -3.018 -5.392 7.314 0.750 4.414" Properties=species:S:1:pos:R:3 pbc="T T T"
Ba 6.345 -4.045 -1.691
Ba 10.052 -1.620 -0.620
Pd 6.879 -1.134 -0.489
I 3.366 -1.757 3.053
Ba 6.830 -2.488 2.404
Br 10.245 -2.891 2.564
Ba 3.123 -4.913 1.334
I 7.314 0.750 4.414
```

Output
Formation energy from raw total energies ... -1.208 eV/atom
Space group ... P2/m, No. 10
V ... 42.6 A^3/atom
Magnetization ... 0.06 μB per atom
ρ ... 4.826 Mg/m³
Density of states at the Fermi level ... 0.888 states/eV per atom

=====

Below is a relaxed structure of Ba4PtIBr2, with properties calculated at the GGA-PBE level.

Cell and atoms, written as extended XYZ:
```
8
Lattice="4.613 0.000 0.000 0.000 8.451 -0.358 0.000 2.807 8.343" Properties=species:S:1:pos:R:3 pbc="T T T"
I 2.306 7.033 8.164
Pt 0.000 5.629 3.992
Br 0.000 2.807 8.343
Ba 4.613 3.007 2.246
Ba 0.000 8.251 5.739
Br 2.306 1.404 4.171
Ba 2.306 4.383 5.799
Ba 2.306 6.876 2.186
```

Output
Formation energy from raw total energies ... -1.341 eV/atom
Space group ... P2/m, No. 10
V ... 41.2 A^3/atom
Magnetization ... 0.05 μB per atom
ρ ... 5.191 Mg/m³
Density of states at the Fermi level ... 0.843 states/eV per atom

=====

Below is a relaxed structure of Ba6Pt3IBr2, with properties calculated at the GGA-PBE level.

Cell and atoms, written as extended XYZ:
```
12
Lattice="4.594 0.000 0.000 0.000 9.972 -0.174 -2.297 -3.431 10.178" Properties=species:S:1:pos:R:3 pbc="T T T"
Br 2.297 4.370 6.666
Pt 2.297 -0.600 6.760
Ba 2.297 -0.607 3.607
Pt 2.297 4.986 -0.087
Ba 0.000 1.620 6.873
Br 0.000 2.171 3.339
Ba 2.297 -0.592 9.933
Pt 0.000 7.141 3.245
Ba 0.000 7.148 6.398
I 2.297 0.000 0.000
Ba 2.297 4.922 3.132
Ba 0.000 7.133 0.072
```

Output
Formation energy from raw total energies ... -1.229 eV/atom
Space group ... C2/m, No. 12
V ... 38.6 A^3/atom
Magnetization ... 0.00 μB per atom
ρ ... 6.075 Mg/m³
Density of states at the Fermi level ... 0.691 states/eV per atom

=====

Below is a relaxed structure of Ba6Pt2IBr3, with properties calculated at the GGA-PBE level.

Cell and atoms, written as extended XYZ:
```
12
Lattice="4.635 0.000 0.000 0.000 10.171 0.256 -2.318 -3.048 10.112" Properties=species:S:1:pos:R:3 pbc="T T T"
Ba 0.000 2.629 0.462
Ba 2.318 4.494 9.906
Br 2.318 -0.553 7.047
Ba 0.000 2.526 6.660
Pt 2.318 4.744 6.857
Pt 0.000 2.379 3.511
Br 2.318 5.085 0.128
I 2.318 0.000 0.000
Ba 0.000 6.888 6.712
Ba 2.318 0.235 3.656
Ba 2.318 4.596 3.707
Br 0.000 7.676 3.320
```

Output
Formation energy from raw total energies ... -1.348 eV/atom
Space group ... C2/m, No. 12
V ... 40.0 A^3/atom
Magnetization ... 0.00 μB per atom
ρ ... 5.465 Mg/m³
Density of states at the Fermi level ... 0.478 states/eV per atom